1) Entry from Alexandria via LeMat-Bulk: an optimized crystal structure of Cd2WBr (PBE).

Calculated values
Theoretical density = 8.9 g/cm³
Space group = Cmm2

Lattice parameters (Å, degrees): 3.080 3.080 11.230 90.00 90.00 121.25
Sites, in units of the cell vectors:
Br: 0.500 0.500 0.688
Cd: 0.000 0.000 0.030
Cd: 0.500 0.500 0.280
W: 0.000 0.000 0.502

2) Entry from Alexandria via LeMat-Bulk: an optimized crystal structure of Cd2WBr (PBE).

Calculated values
Theoretical density = 9.4 g/cm³
Space group = P4/mmm

Lattice parameters (Å, degrees): 3.083 5.297 5.297 90.00 90.00 90.00
Last column: magnetic moment on the atom in μB.
Sites, in units of the cell vectors:
Br: 0.500 0.000 0.500  0.07
Cd: 0.000 0.500 0.500  0.01
Cd: 0.000 0.000 0.000  0.01
W: 0.500 0.500 0.000  1.26

Quick one: most stable of them? 1)

1) Entry from Alexandria via LeMat-Bulk: an optimized crystal structure of B2C (PBE).

Calculated values
Theoretical density = 2.6 g/cm³
Space group = P-3m1

Lattice parameters (Å, degrees): 2.700 2.700 13.527 90.00 90.00 120.00
Sites, in units of the cell vectors:
B: 0.667 0.333 0.535
B: 0.333 0.667 0.862
B: 0.000 0.000 0.196
B: 0.000 0.000 0.337
B: 0.333 0.667 0.465
B: 0.000 0.000 0.804
B: 0.667 0.333 0.138
B: 0.000 0.000 0.663
C: 0.667 0.333 0.651
C: 0.333 0.667 0.349
C: 0.333 0.667 0.981
C: 0.667 0.333 0.019

2) Entry from Alexandria via LeMat-Bulk: an optimized crystal structure of B2C (PBE).

Calculated values
Theoretical density = 2.0 g/cm³
Space group = P3m1

Lattice parameters (Å, degrees): 2.726 2.726 17.382 90.00 90.00 120.00
Sites, in units of the cell vectors:
C: 0.333 0.667 0.611
C: 0.667 0.333 0.321
C: 0.667 0.333 0.241
C: 0.333 0.667 0.106
B: 0.000 0.000 0.097
B: 0.667 0.333 0.857
B: 0.667 0.333 0.618
B: 0.333 0.667 0.200
B: 0.333 0.667 0.521
B: 0.000 0.000 0.857
B: 0.000 0.000 0.459
B: 0.000 0.000 0.362

Quick one: most stable of them? 2)

1) Entry from Alexandria via LeMat-Bulk: an optimized crystal structure of Zr2ScW (PBE).

Calculated values
Theoretical density = 8.1 g/cm³
Space group = P4mm

Lattice parameters (Å, degrees): 3.402 3.402 7.314 90.00 90.00 90.00
Sites, in units of the cell vectors:
Zr: 0.000 0.000 0.969
Zr: 0.500 0.500 0.232
W: 0.500 0.500 0.763
Sc: 0.000 0.000 0.536

2) Entry from Alexandria via LeMat-Bulk: an optimized crystal structure of Zr2ScW (PBE).

Calculated values
Theoretical density = 7.8 g/cm³
Space group = I-42d

Lattice parameters (Å, degrees): 7.687 7.687 6.195 51.65 51.65 90.00
Sites, in units of the cell vectors:
Zr: 0.875 0.899 0.750
Zr: 0.649 0.125 0.250
Zr: 0.375 0.351 0.750
Zr: 0.101 0.625 0.250
W: 0.750 0.250 0.500
W: 0.000 0.000 0.000
Sc: 0.250 0.750 0.500
Sc: 0.500 0.500 0.000

Quick one: most stable of them? 1)

1) Entry from Alexandria via LeMat-Bulk: an optimized crystal structure of B2C3 (PBE).

Calculated values
Theoretical density = 3.0 g/cm³
Space group = R3m

Lattice parameters (Å, degrees): 11.356 11.356 11.356 13.02 13.02 13.02
Sites, in units of the cell vectors:
C: 0.047 0.047 0.047
C: 0.448 0.448 0.448
C: 0.251 0.251 0.251
C: 0.002 0.002 0.002
C: 0.653 0.653 0.653
C: 0.795 0.795 0.795
B: 0.399 0.399 0.399
B: 0.843 0.843 0.843
B: 0.605 0.605 0.605
B: 0.206 0.206 0.206

2) Entry from Alexandria via LeMat-Bulk: an optimized crystal structure of B2C3 (PBE).

Calculated values
Theoretical density = 2.9 g/cm³
Space group = P1

Lattice parameters (Å, degrees): 3.607 4.692 4.464 84.53 109.37 112.90
Sites, in units of the cell vectors:
C: 0.546 0.715 0.879
C: 0.390 0.589 0.173
C: 0.953 0.297 0.104
C: 0.988 0.996 0.003
C: 0.239 0.824 0.616
C: 0.145 0.084 0.716
B: 0.262 0.847 0.274
B: 0.604 0.377 0.815
B: 0.758 0.550 0.465
B: 0.866 0.221 0.454

Quick one: most stable of them? 1)

1) Entry from Alexandria via LeMat-Bulk: an optimized crystal structure of BeCo2Br (PBE).

Calculated values
Theoretical density = 6.6 g/cm³
Space group = P-1

Lattice parameters (Å, degrees): 4.238 4.782 3.034 72.11 89.04 116.03
Last column: magnetic moment on the atom in μB.
Sites, in units of the cell vectors:
Be: 0.000 0.500 0.500  -0.04
Co: 0.500 0.000 0.500  1.17
Co: 0.000 0.000 0.000  1.15
Br: 0.500 0.500 0.000  0.00

2) Entry from Alexandria via LeMat-Bulk: an optimized crystal structure of BeCo2Br (PBE).

Calculated values
Theoretical density = 6.5 g/cm³
Space group = P4/mmm

Lattice parameters (Å, degrees): 2.990 2.990 5.935 90.00 90.00 90.07
Last column: magnetic moment on the atom in μB.
Sites, in units of the cell vectors:
Co: 0.000 0.000 0.437  1.52
Co: 0.000 0.000 0.063  1.52
Be: 0.500 0.500 0.250  -0.07
Br: 0.500 0.500 0.750  0.14

Quick one: most stable of them? 2)

1) Entry from Alexandria via LeMat-Bulk: an optimized crystal structure of YCuTc2 (PBE).

Calculated values
Theoretical density = 8.7 g/cm³
Space group = Cmmm

Lattice parameters (Å, degrees): 2.809 2.809 8.633 90.00 90.00 103.81
Sites, in units of the cell vectors:
Y: 0.500 0.500 0.250
Tc: 0.000 0.000 0.969
Tc: 0.000 0.000 0.531
Cu: 0.500 0.500 0.750

2) Entry from Alexandria via LeMat-Bulk: an optimized crystal structure of YCuTc2 (PBE).

Calculated values
Theoretical density = 8.7 g/cm³
Space group = R-3m

Lattice parameters (Å, degrees): 9.661 9.661 9.661 16.94 16.94 16.94
Sites, in units of the cell vectors:
Cu: 0.750 0.750 0.750
Tc: 0.490 0.490 0.490
Tc: 0.010 0.010 0.010
Y: 0.250 0.250 0.250

Quick one: most stable of them? 1)